[1]
LiV2Pd8 | PBE | relaxed

Unit cell a=7.2091 b=7.2091 c=6.2131 alpha=105.50 beta=105.50 gamma=31.69
Sites, in units of the cell vectors:
Li1 0.0000 0.0000 0.0000
V1 0.2757 0.2757 0.3467
V2 0.7243 0.7243 0.6533
Pd1 0.1008 0.1008 0.4627
Pd2 0.1805 0.1805 0.9184
Pd3 0.3551 0.3551 0.7990
Pd4 0.4547 0.4547 0.2728
Pd5 0.5453 0.5453 0.7272
Pd6 0.6449 0.6449 0.2010
Pd7 0.8195 0.8195 0.0816
Pd8 0.8992 0.8992 0.5373

Relative energy among the computed polymorphs = 0.000 eV/atom
Symmetry = C2/m
Crystal system = monoclinic
Calculated formation energy = -2.7 eV per formula unit

[2]
PrLuTlCu | PBE | relaxed

Unit cell a=5.2411 b=5.2411 c=5.2411 alpha=60.00 beta=60.00 gamma=60.00
Sites, in units of the cell vectors:
Pr1 0.0000 0.0000 0.0000
Lu1 0.5000 0.5000 0.5000
Tl1 0.2500 0.2500 0.2500
Cu1 0.7500 0.7500 0.7500

Symmetry = F-43m
Crystal system = cubic
Calculated formation energy = -0.8 eV per formula unit

[3]
Tl4TcRh | PBE | relaxed

Unit cell a=6.0194 b=6.0194 c=6.0194 alpha=60.00 beta=60.00 gamma=60.00
Sites, in units of the cell vectors:
Tl1 0.1249 0.1249 0.1249
Tl2 0.1249 0.1249 0.6254
Tl3 0.1249 0.6254 0.1249
Tl4 0.6254 0.1249 0.1249
Tc1 0.5000 0.5000 0.5000
Rh1 0.7500 0.7500 0.7500

Symmetry = F-43m
Crystal system = cubic
Calculated formation energy = 7.0 eV per formula unit

[4]
MnCoAs2Se | PBE | relaxed

Unit cell a=4.4020 b=4.4020 c=5.1841 alpha=90.00 beta=90.00 gamma=90.00
Sites, in units of the cell vectors:
Mn1 0.0000 0.0000 0.0000
Co1 0.5000 0.5000 0.5000
As1 0.0000 0.5000 0.0000
As2 0.5000 0.0000 0.0000
Se1 0.0000 0.0000 0.5000

Relative energy among the computed polymorphs = 0.000 eV/atom
Formation energy (no corrections) = 785.1 meV per atom
Symmetry = P4/mmm
Crystal system = tetragonal

Spin magnetization readings, ordered: 1.82 0.01 4.38 2.16 μB per cell
Total DFT energy (no corrections) readings, ordered: -5.857 -4.145 -3.356 -5.027 eV per atom